(1)
! FeHIrI2 PBE optimized geometry; values from VASP
&SYSTEM
  ibrav = 0, nat = 5, ntyp = 4
/
ATOMIC_SPECIES
Fe 55.84 Fe.upf
H 1.01 H.upf
Ir 192.22 Ir.upf
I 126.90 I.upf
CELL_PARAMETERS angstrom
5.327 0.000 0.000
0.000 5.327 0.000
0.000 0.000 4.607
ATOMIC_POSITIONS crystal
Fe 0.000 0.000 0.000
H 0.500 0.500 0.500
Ir 0.000 0.000 0.500
I 0.000 0.500 0.000
I 0.500 0.000 0.000
! - calculated volume (Å³/atom) = 26.15
! - space-group type = P4/mmm, No. 123
! - DFT total energy (Ry per atom) = -0.24007

=====

(2)
! KLiY PBE optimized geometry; values from VASP
&SYSTEM
  ibrav = 0, nat = 3, ntyp = 3
/
ATOMIC_SPECIES
K 39.10 K.upf
Li 6.94 Li.upf
Y 88.91 Y.upf
CELL_PARAMETERS angstrom
0.000 3.953 3.953
3.953 0.000 3.953
3.953 3.953 0.000
ATOMIC_POSITIONS crystal
K 0.000 0.000 0.000
Li 0.750 0.750 0.750
Y 0.500 0.500 0.500
! - calculated volume (Å³/atom) = 41.19
! - E_form (eV/f.u.) = 2.3
! - space-group type = F-43m, No. 216
! - DFT total energy (Ry per atom) = -0.17601
! - energy relative to the lowest polymorph listed for this composition (meV/atom) = 444

=====

(3)
! PbBr PBE optimized geometry; values from VASP
&SYSTEM
  ibrav = 0, nat = 6, ntyp = 2
/
ATOMIC_SPECIES
Pb 207.20 Pb.upf
Br 79.90 Br.upf
CELL_PARAMETERS angstrom
6.830 0.000 0.000
-3.415 5.915 0.000
0.000 0.000 4.912
ATOMIC_POSITIONS crystal
Pb 0.000 0.581 0.000
Pb 0.419 0.419 0.000
Pb 0.581 0.000 0.000
Br 0.000 0.323 0.500
Br 0.323 0.000 0.500
Br 0.677 0.677 0.500
! - calculated volume (Å³/atom) = 33.08
! - space-group type = P-62m, No. 189
! - formation energy without anion corrections (meV per atom) = -479.0
! - DFT total energy (Ry per atom) = -0.23296

=====

(4)
! LaZn2InRh PBE optimized geometry; values from VASP
&SYSTEM
  ibrav = 0, nat = 5, ntyp = 4
/
ATOMIC_SPECIES
La 138.91 La.upf
Zn 65.41 Zn.upf
In 114.82 In.upf
Rh 102.91 Rh.upf
CELL_PARAMETERS angstrom
4.827 0.000 0.000
0.000 4.827 0.000
0.000 0.000 5.040
ATOMIC_POSITIONS crystal
La 0.000 0.000 0.000
Zn 0.000 0.500 0.500
Zn 0.500 0.000 0.500
In 0.500 0.500 0.000
Rh 0.500 0.500 0.500
! - calculated volume (Å³/atom) = 23.48
! - E_form (eV/f.u.) = -1.6
! - space-group type = P4/mmm, No. 123
! - DFT total energy (Ry per atom) = -0.28169
! - energy relative to the lowest polymorph listed for this composition (meV/atom) = 0